This record from the Alexandria database describes LaRePt after structural relaxation. The functional is PBE.

calculated formation energy = 0.407 eV per atom
energy = -0.5437 Ry/atom
mass density = 12.662 Mg/m³

Structure (CIF):
```
data_LaRePt
_chemical_formula_sum 'La4 Re4 Pt4'
_space_group_name_H-M_alt 'F -4 3 m'
_space_group_IT_number 216
_space_group_name_Hall 'F -4 2 3'
_cell_length_a 6.486
_cell_length_b 6.486
_cell_length_c 6.486
_cell_angle_alpha 90.00
_cell_angle_beta 90.00
_cell_angle_gamma 90.00
loop_
_atom_site_label
_atom_site_fract_x
_atom_site_fract_y
_atom_site_fract_z
La1 0.000 0.000 0.000
Re1 0.250 0.250 0.250
Pt1 0.000 0.000 0.500
```